Record 1
## Tm4SnAu2 (GGA-PBE)

Data for a relaxed Tm4SnAu2 crystal.

abc: 4.7717 4.7717 10.1619
angles: 76.42 76.42 60.00
Last column: nearest neighbours and their distance in Å.
Atoms (fractional coordinates):
Tm (0.7008, 0.7008, 0.8975)  4 Au 2.90-2.91
Tm (0.2992, 0.2992, 0.1025)  4 Au 2.90-2.91
Tm (0.8835, 0.8835, 0.3495)  3 Sn 3.12, 3 Au 3.14
Tm (0.1165, 0.1165, 0.6505)  3 Sn 3.12, 3 Au 3.14
Sn (0.5000, 0.5000, 0.5000)  2 Au 2.98, 6 Tm 3.12
Au (0.3983, 0.3983, 0.8051)  7 Tm 2.90-3.14, 1 Sn 2.98
Au (0.6017, 0.6017, 0.1949)  7 Tm 2.90-3.14, 1 Sn 2.98

## Properties
Energy of formation in meV/atom: -556


Record 2
## Ho2Ge2O7 (GGA-PBE)

Data for a relaxed Ho2Ge2O7 crystal.

abc: 6.8774 6.8366 12.2717
angles: 90.85 94.84 92.94
Last column: nearest neighbours and their distance in Å.
Atoms (fractional coordinates):
O (0.5885, 0.8224, 0.5442)  1 Ge 1.76
O (0.3228, 0.7546, 0.3123)  1 Ge 1.79
O (0.1989, 0.9382, 0.5905)  1 Ge 1.75
O (0.2721, 0.5413, 0.5046)  2 Ge 1.80-1.84
O (0.3374, 0.4728, 0.1192)  1 Ge 1.75
O (0.4115, 0.1776, 0.4558)  1 Ge 1.76
O (0.6303, 0.4174, 0.2942)  2 Ge 1.80-1.86
O (0.9744, 0.7455, 0.3836)  1 Ge 1.75
O (0.5920, 0.9012, 0.7747)  1 Ge 1.78
O (0.6772, 0.2454, 0.6877)  1 Ge 1.79
O (0.3014, 0.7287, 0.9237)  1 Ge 1.76
O (0.9119, 0.6397, 0.6984)  1 Ge 1.74
O (0.3697, 0.5826, 0.7058)  2 Ge 1.80-1.86
O (0.7279, 0.4587, 0.4954)  2 Ge 1.80-1.84
O (0.4080, 0.0988, 0.2253)  1 Ge 1.78
O (0.0881, 0.3603, 0.3016)  1 Ge 1.74
O (0.3586, 0.2255, 0.8148)  1 Ge 1.74
O (0.0256, 0.2545, 0.6163)  1 Ge 1.75
O (0.2282, 0.0888, 0.0210)  1 Ge 1.76
O (0.6986, 0.2713, 0.0763)  1 Ge 1.76
O (0.8011, 0.0618, 0.4095)  1 Ge 1.75
O (0.9954, 0.9866, 0.8114)  1 Ge 1.77
O (0.0071, 0.6567, 0.0847)  1 Ge 1.81
O (0.6626, 0.5272, 0.8808)  1 Ge 1.75
O (0.0046, 0.0134, 0.1886)  1 Ge 1.77
O (0.9929, 0.3433, 0.9153)  1 Ge 1.81
O (0.6414, 0.7745, 0.1852)  1 Ge 1.74
O (0.7718, 0.9112, 0.9790)  1 Ge 1.76
Ho (0.1411, 0.0460, 0.3559)  4 O 2.19-2.34
Ho (0.6568, 0.7394, 0.3703)  6 O 2.17-2.40
Ho (0.6740, 0.1868, 0.8829)  7 O 2.29-2.44
Ho (0.9593, 0.6826, 0.8883)  7 O 2.25-2.42
Ho (0.0407, 0.3174, 0.1117)  7 O 2.25-2.42
Ho (0.8589, 0.9540, 0.6441)  4 O 2.19-2.34
Ho (0.3260, 0.8132, 0.1171)  7 O 2.29-2.44
Ho (0.3432, 0.2606, 0.6297)  6 O 2.17-2.40
Ge (0.5133, 0.3086, 0.1639)  4 O 1.75-1.86
Ge (0.1579, 0.5806, 0.3696)  4 O 1.74-1.80
Ge (0.8404, 0.8432, 0.1136)  4 O 1.74-1.81
Ge (0.8421, 0.4194, 0.6304)  4 O 1.74-1.80
Ge (0.6361, 0.2492, 0.4059)  4 O 1.75-1.84
Ge (0.3639, 0.7508, 0.5941)  4 O 1.75-1.84
Ge (0.1596, 0.1568, 0.8864)  4 O 1.74-1.81
Ge (0.4867, 0.6914, 0.8361)  4 O 1.75-1.86

## Properties
Formation energy from raw total energies in eV per atom: -2.5967


Record 3
## Be2CrTe (GGA-PBE)

Data for a relaxed Be2CrTe crystal.

abc: 3.2379 3.2379 5.0899
angles: 90.00 90.00 90.00
Last column: nearest neighbours and their distance in Å.
Atoms (fractional coordinates):
Te (0.5000, 0.5000, 0.7389)  6 Be 2.50-2.78, 4 Cr 2.63
Be (0.0000, 0.0000, 0.0472)  1 Cr 2.22, 4 Be 2.47
Be (0.5000, 0.5000, 0.2310)  4 Be 2.47, 2 Te 2.50-2.59, 4 Cr 2.62
Cr (0.0000, 0.0000, 0.4829)  1 Be 2.22

## Properties
Formation energy from raw total energies in eV per atom: 0.4541


Record 4
## Tb2Ce2Si4Os (GGA-PBE)

Data for a relaxed Tb2Ce2Si4Os crystal.

abc: 6.4158 6.4158 6.4158
angles: 102.51 113.06 113.06
Last column: nearest neighbours and their distance in Å.
Atoms (fractional coordinates):
Si (0.4851, 0.2425, 0.2425)  1 Os 2.43
Si (0.0000, 0.7575, 0.2425)  1 Os 2.43
Si (0.5149, 0.7575, 0.7575)  1 Os 2.43
Si (0.0000, 0.2425, 0.7575)  1 Os 2.43
Os (0.0000, 0.0000, 0.0000)  4 Si 2.43, 2 Ce 2.59
Tb (0.5000, 0.7500, 0.2500)  8 Si 3.21, 4 Ce 3.59
Tb (0.5000, 0.2500, 0.7500)  8 Si 3.21, 4 Ce 3.59
Ce (0.0000, 0.6770, 0.6770)  1 Os 2.59, 1 Ce 2.84
Ce (0.0000, 0.3230, 0.3230)  1 Os 2.59, 1 Ce 2.84

## Properties
Formation energy from raw total energies in eV per atom: -0.3383


Record 5
## Sm6P2S3N (GGA-PBE)

Data for a relaxed Sm6P2S3N crystal.

abc: 3.9539 8.0320 8.9523
angles: 103.76 102.76 90.00
Last column: nearest neighbours and their distance in Å.
Atoms (fractional coordinates):
P (0.1654, 0.3312, 0.3308)  6 Sm 2.80-2.85
P (0.8346, 0.6688, 0.6692)  6 Sm 2.80-2.85
S (0.5000, 0.5000, 0.0000)  6 Sm 2.82-3.00
S (0.1690, 0.8364, 0.3379)  6 Sm 2.84-3.06
S (0.8310, 0.1636, 0.6621)  6 Sm 2.84-3.06
Sm (0.9998, 0.7812, 0.9995)  2 N 2.64, 1 P 2.80, 1 S 2.88
Sm (0.3496, 0.9223, 0.6993)  1 N 2.55, 2 P 2.80, 2 S 2.84
Sm (0.6665, 0.5803, 0.3330)  3 P 2.81-2.85, 3 S 2.82-2.85
Sm (0.6504, 0.0777, 0.3007)  1 N 2.55, 2 P 2.80, 2 S 2.84
Sm (0.0002, 0.2188, 0.0005)  2 N 2.64, 1 P 2.80, 1 S 2.88
Sm (0.3335, 0.4197, 0.6670)  3 P 2.81-2.85, 3 S 2.82-2.85
N (0.5000, 0.0000, 0.0000)  6 Sm 2.55-2.64

## Properties
Formation energy from raw total energies in eV per atom: -1.7941


Record 6
## AcTbY2 (GGA-PBE)

Data for a relaxed AcTbY2 crystal.

abc: 5.8939 6.4253 14.9479
angles: 90.00 90.00 90.00
Last column: nearest neighbours and their distance in Å.
Atoms (fractional coordinates):
Y (0.7500, 0.4093, 0.8061)  5 Y 3.60-3.82, 4 Tb 3.61, 3 Ac 3.68-3.90
Y (0.7500, 0.9232, 0.9349)  5 Y 3.60-3.82, 3 Tb 3.63-3.79, 4 Ac 3.66-3.81
Y (0.2500, 0.5768, 0.4349)  5 Y 3.60-3.82, 3 Tb 3.63-3.79, 4 Ac 3.66-3.81
Y (0.2500, 0.0768, 0.0651)  5 Y 3.60-3.82, 3 Tb 3.63-3.79, 4 Ac 3.66-3.81
Y (0.2500, 0.5907, 0.1939)  5 Y 3.60-3.82, 4 Tb 3.61, 3 Ac 3.68-3.90
Y (0.7500, 0.4232, 0.5651)  5 Y 3.60-3.82, 3 Tb 3.63-3.79, 4 Ac 3.66-3.81
Y (0.2500, 0.0907, 0.3061)  5 Y 3.60-3.82, 4 Tb 3.61, 3 Ac 3.68-3.90
Y (0.7500, 0.9093, 0.6939)  5 Y 3.60-3.82, 4 Tb 3.61, 3 Ac 3.68-3.90
Ac (0.2500, 0.0844, 0.5667)  3 Tb 3.66-3.70, 7 Y 3.66-3.90, 2 Ac 3.72
Ac (0.2500, 0.5844, 0.9333)  3 Tb 3.66-3.70, 7 Y 3.66-3.90, 2 Ac 3.72
Ac (0.7500, 0.4156, 0.0667)  3 Tb 3.66-3.70, 7 Y 3.66-3.90, 2 Ac 3.72
Ac (0.7500, 0.9156, 0.4333)  3 Tb 3.66-3.70, 7 Y 3.66-3.90, 2 Ac 3.72
Tb (0.2500, 0.0840, 0.8114)  7 Y 3.61-3.79, 3 Ac 3.66-3.70, 2 Tb 3.70
Tb (0.2500, 0.5840, 0.6886)  7 Y 3.61-3.79, 3 Ac 3.66-3.70, 2 Tb 3.70
Tb (0.7500, 0.4160, 0.3114)  7 Y 3.61-3.79, 3 Ac 3.66-3.70, 2 Tb 3.70
Tb (0.7500, 0.9160, 0.1886)  7 Y 3.61-3.79, 3 Ac 3.66-3.70, 2 Tb 3.70

## Properties
Energy of formation in meV/atom: 44